Record 1
# La4AsBrO8 PBE optimized geometry
# - spin magnetization (μB/f.u.) = 0.000
# - symmetry = P4_2/m (84)
# - E_form (uncorrected) (eV/atom) = -2.936
# - electronic total energy (eV/atom) = -7.63
data_La4AsBrO8
_chemical_formula_sum 'La16 As4 Br4 O32'
_cell_length_a 8.482
_cell_length_b 8.482
_cell_length_c 13.700
_cell_angle_alpha 90.00
_cell_angle_beta 90.00
_cell_angle_gamma 90.00
_symmetry_space_group_name_H-M 'P 1'
_symmetry_Int_Tables_number 1
loop_
_symmetry_equiv_pos_as_xyz
'x,y,z'
loop_
_atom_site_label
_atom_site_type_symbol
_atom_site_fract_x
_atom_site_fract_y
_atom_site_fract_z
La1 La 0.515 0.244 0.168
La2 La 0.485 0.756 0.832
La3 La 0.485 0.756 0.168
La4 La 0.756 0.515 0.668
La5 La 0.515 0.244 0.832
La6 La 0.244 0.485 0.332
La7 La 0.244 0.485 0.668
La8 La 0.756 0.515 0.332
La9 La 0.244 0.012 0.334
La10 La 0.756 0.988 0.666
La11 La 0.756 0.988 0.334
La12 La 0.988 0.244 0.834
La13 La 0.244 0.012 0.666
La14 La 0.012 0.756 0.166
La15 La 0.012 0.756 0.834
La16 La 0.988 0.244 0.166
As1 As 0.253 0.044 0.000
As2 As 0.747 0.956 0.000
As3 As 0.956 0.253 0.500
As4 As 0.044 0.747 0.500
Br1 Br 0.252 0.558 0.000
Br2 Br 0.748 0.442 0.000
Br3 Br 0.442 0.252 0.500
Br4 Br 0.558 0.748 0.500
O1 O 0.087 0.165 0.000
O2 O 0.913 0.835 0.000
O3 O 0.835 0.087 0.500
O4 O 0.165 0.913 0.500
O5 O 0.256 0.249 0.234
O6 O 0.744 0.751 0.766
O7 O 0.744 0.751 0.234
O8 O 0.751 0.256 0.734
O9 O 0.256 0.249 0.766
O10 O 0.249 0.744 0.266
O11 O 0.249 0.744 0.734
O12 O 0.751 0.256 0.266
O13 O 0.417 0.166 0.000
O14 O 0.583 0.834 0.000
O15 O 0.834 0.417 0.500
O16 O 0.166 0.583 0.500
O17 O 0.000 0.500 0.237
O18 O 0.000 0.500 0.763
O19 O 0.500 0.000 0.737
O20 O 0.500 0.000 0.263
O21 O 0.068 0.253 0.396
O22 O 0.932 0.747 0.604
O23 O 0.932 0.747 0.396
O24 O 0.747 0.068 0.896
O25 O 0.068 0.253 0.604
O26 O 0.253 0.932 0.104
O27 O 0.253 0.932 0.896
O28 O 0.747 0.068 0.104
O29 O 0.000 0.000 0.250
O30 O 0.000 0.000 0.750
O31 O 0.500 0.500 0.250
O32 O 0.500 0.500 0.750

Record 2
# Mg3TaPd PBE optimized geometry
# - spin magnetization (μB/f.u.) = 0.000
# - formation enthalpy at 0 K (eV per atom) = 0.638
# - distance to the lowest polymorph of the same formula (meV per atom) = 0.0
# - symmetry = Pm-3m (221)
# - electronic total energy (eV/atom) = -3.73
data_Mg3TaPd
_chemical_formula_sum 'Mg3 Ta1 Pd1'
_cell_length_a 4.779
_cell_length_b 4.779
_cell_length_c 4.779
_cell_angle_alpha 90.00
_cell_angle_beta 90.00
_cell_angle_gamma 90.00
_symmetry_space_group_name_H-M 'P 1'
_symmetry_Int_Tables_number 1
loop_
_symmetry_equiv_pos_as_xyz
'x,y,z'
loop_
_atom_site_label
_atom_site_type_symbol
_atom_site_fract_x
_atom_site_fract_y
_atom_site_fract_z
Mg1 Mg 0.000 0.500 0.000
Mg2 Mg 0.000 0.000 0.500
Mg3 Mg 0.500 0.000 0.000
Pd1 Pd 0.000 0.000 0.000
Ta1 Ta 0.500 0.500 0.500

Record 3
# LiAsPb2 PBE optimized geometry
# - spin magnetization (μB/f.u.) = 0.000
# - formation enthalpy at 0 K (eV per atom) = 0.037
# - symmetry = F-43m (216)
# - electronic total energy (eV/atom) = -3.46
data_LiAsPb2
_chemical_formula_sum 'Li1 As1 Pb2'
_cell_length_a 5.246
_cell_length_b 5.246
_cell_length_c 5.246
_cell_angle_alpha 60.00
_cell_angle_beta 60.00
_cell_angle_gamma 60.00
_symmetry_space_group_name_H-M 'P 1'
_symmetry_Int_Tables_number 1
loop_
_symmetry_equiv_pos_as_xyz
'x,y,z'
loop_
_atom_site_label
_atom_site_type_symbol
_atom_site_fract_x
_atom_site_fract_y
_atom_site_fract_z
As1 As 0.500 0.500 0.500
Li1 Li 0.750 0.750 0.750
Pb1 Pb 0.000 0.000 0.000
Pb2 Pb 0.250 0.250 0.250

Record 4
# CsNaBSe2 PBE optimized geometry
# - spin magnetization (μB/f.u.) = 0.853
# - symmetry = P2/c (13)
# - E_form (uncorrected) (eV/atom) = -0.381
# - electronic total energy (eV/atom) = -3.55
data_CsNaBSe2
_chemical_formula_sum 'Cs2 Na2 B2 Se4'
_cell_length_a 5.100
_cell_length_b 7.987
_cell_length_c 8.468
_cell_angle_alpha 105.59
_cell_angle_beta 90.00
_cell_angle_gamma 90.00
_symmetry_space_group_name_H-M 'P 1'
_symmetry_Int_Tables_number 1
loop_
_symmetry_equiv_pos_as_xyz
'x,y,z'
loop_
_atom_site_label
_atom_site_type_symbol
_atom_site_fract_x
_atom_site_fract_y
_atom_site_fract_z
Cs1 Cs 0.269 0.500 0.750
Cs2 Cs 0.731 0.500 0.250
Na1 Na 0.446 0.000 0.250
Na2 Na 0.554 0.000 0.750
B1 B 0.000 0.000 0.000
B2 B 0.000 0.000 0.500
Se1 Se 0.784 0.804 0.970
Se2 Se 0.784 0.196 0.530
Se3 Se 0.216 0.804 0.470
Se4 Se 0.216 0.196 0.030